[1]
Here is an optimized crystal structure of RbDyAu2 from the Alexandria database. Energies are from GGA-PBE.

As for the space group: No. 123.

Cell lengths 3.7281, 3.7281, 8.3702 Å; angles 90.00, 90.00, 90.00 degrees
Fractional positions:
Au 0.0000 0.0000 0.8214
Au 0.0000 0.0000 0.1786
Dy 0.5000 0.5000 0.0000
Rb 0.5000 0.5000 0.5000


[2]
Here is an optimized crystal structure of Cu12NiPt6 from the Alexandria database. Energies are from GGA-PBE.

As for the space group: No. 166.

Cell lengths 6.8014, 6.8014, 6.8014 Å; angles 67.47, 67.47, 67.47 degrees
Fractional positions:
Pt 0.7480 0.1143 0.7480
Pt 0.2520 0.2520 0.8857
Pt 0.1143 0.7480 0.7480
Pt 0.2520 0.8857 0.2520
Pt 0.8857 0.2520 0.2520
Pt 0.7480 0.7480 0.1143
Cu 0.8498 0.4809 0.8498
Cu 0.5074 0.1810 0.5074
Cu 0.5074 0.5074 0.1810
Cu 0.4926 0.8190 0.4926
Cu 0.1502 0.5191 0.1502
Cu 0.1502 0.1502 0.5191
Cu 0.4809 0.8498 0.8498
Cu 0.8190 0.4926 0.4926
Cu 0.1810 0.5074 0.5074
Cu 0.4926 0.4926 0.8190
Cu 0.5191 0.1502 0.1502
Cu 0.8498 0.8498 0.4809
Ni 0.0000 0.0000 0.0000


[3]
Here is an optimized crystal structure of Pm12Tm3Sc from the Alexandria database. Energies are from GGA-PBE.

As for the space group: No. 123.

Cell lengths 5.0867, 5.0867, 20.2942 Å; angles 90.00, 90.00, 90.00 degrees
Fractional positions:
Tm 0.0000 0.0000 0.7517
Tm 0.0000 0.0000 0.5000
Tm 0.0000 0.0000 0.2483
Pm 0.0000 0.5000 0.6259
Pm 0.5000 0.0000 0.8778
Pm 0.5000 0.5000 0.2482
Pm 0.0000 0.5000 0.8778
Pm 0.5000 0.0000 0.1222
Pm 0.5000 0.0000 0.6259
Pm 0.5000 0.0000 0.3741
Pm 0.5000 0.5000 0.7518
Pm 0.0000 0.5000 0.3741
Pm 0.5000 0.5000 0.0000
Pm 0.0000 0.5000 0.1222
Pm 0.5000 0.5000 0.5000
Sc 0.0000 0.0000 0.0000


[4]
Here is an optimized crystal structure of CrCo3P from the Alexandria database. Energies are from GGA-PBE.

As for the space group: No. 221.

Cell lengths 4.1632, 4.1632, 4.1632 Å; angles 90.00, 90.00, 90.00 degrees
Last column: magnetic moment on the atom in μB.
Fractional positions:
Co 0.0000 0.0000 0.5000  0.26
Co 0.5000 0.0000 0.0000  0.26
Co 0.0000 0.5000 0.0000  0.29
P 0.5000 0.5000 0.5000  0.01
Cr 0.0000 0.0000 0.0000  -0.08


| no. | formation energy from the elements (eV/f.u.) |
| --- | --- |
| 1 | -2.242 |
| 2 | -0.209 |
| 3 | 0.335 |
| 4 | 6.600 |